# PBE-GGA PrMgZnAu2, relaxed
data_PrMgZnAu2
_cell_length_a 4.107
_cell_length_b 4.107
_cell_length_c 12.929
_cell_angle_alpha 90.00
_cell_angle_beta 90.00
_cell_angle_gamma 90.00
_symmetry_space_group_name_H-M 'I -4 m 2'
_symmetry_Int_Tables_number 119
_symmetry_space_group_name_Hall 'I -4 -2'
loop_
_atom_site_label
_atom_site_fract_x
_atom_site_fract_y
_atom_site_fract_z
Pr1 0.000 0.000 0.000
Mg1 0.000 0.500 0.250
Zn1 0.000 0.500 0.750
Au1 0.000 0.000 0.390
# formation enthalpy at 0 K: -58.1 kJ per mole of atoms
# magnetic moment: 0.000 μB/cell